Record 1
Here is an optimized crystal structure of Li2ZnPb2 from the Alexandria database. Energies are from PBE-GGA.

Its crystal system is tetragonal. Its calculated total energy is -2.5859 eV per atom. The energy of formation from the pure elements comes out at -0.0822 eV/atom.

The structure belongs to space group P4/mbm (No. 127); the cell edges are 7.722, 7.722 and 3.867 Å and the angles 90.00°, 90.00° and 90.00°. The inequivalent atoms are Li at (0.147, 0.353, 0.000), Zn at (0.000, 0.000, 0.500) and Pb at (0.154, 0.654, 0.500).



Record 2
Here is an optimized crystal structure of Tb3YTh from the Alexandria database. Energies are from PBE-GGA.

Its crystal system is orthorhombic. Its calculated total energy is -5.3649 eV per atom. The value obtained for the energy above the most stable polymorph in this dataset is 0 meV/atom. The energy of formation from the pure elements comes out at 0.1900 eV/atom.

The structure belongs to space group Cmmm (No. 65); the cell edges are 5.355, 11.259 and 10.978 Å and the angles 90.00°, 90.00° and 90.00°. The inequivalent atoms are Tb at (0.000, 0.000, 0.172), Tb at (0.000, 0.348, 0.304), Y at (0.000, 0.345, 0.000) and Th at (0.000, 0.136, 0.500).



Record 3
Here is an optimized crystal structure of La2Sm3ScSe6 from the Alexandria database. Energies are from PBE-GGA.

Its crystal system is monoclinic. The value obtained for the energy relative to the elements, uncorrected is -1.82 eV per atom. Its calculated total energy is -6.0872 eV per atom.

The structure belongs to space group C2/m (No. 12); the cell edges are 18.171, 4.163 and 8.404 Å and the angles 90.00°, 103.24° and 90.00°. The inequivalent atoms are La at (0.165, 0.000, 0.333), Sm at (0.000, 0.500, 0.500), Sm at (0.171, 0.000, 0.836), Sc at (0.000, 0.500, 0.000), Se at (0.005, 0.000, 0.768), Se at (0.158, 0.500, 0.073) and Se at (0.165, 0.500, 0.589).



Record 4
Here is an optimized crystal structure of KLaCu3 from the Alexandria database. Energies are from PBE-GGA.

Its crystal system is cubic. Its calculated total energy is -2.6917 eV per atom. The value obtained for the energy above the most stable polymorph in this dataset is 299 meV/atom. The energy of formation from the pure elements comes out at 0.9710 eV/atom.

The structure belongs to space group Pm-3m (No. 221); the cell edges are 5.137, 5.137 and 5.137 Å and the angles 90.00°, 90.00° and 90.00°. The inequivalent atoms are K at (0.000, 0.000, 0.000), La at (0.500, 0.500, 0.500) and Cu at (0.000, 0.000, 0.500).



Record 5
Here is an optimized crystal structure of Mg3TlIn3 from the Alexandria database. Energies are from PBE-GGA.

Its crystal system is orthorhombic. Its calculated total energy is -2.2343 eV per atom. The value obtained for the energy above the most stable polymorph in this dataset is 0 meV/atom. The energy of formation from the pure elements comes out at -0.0392 eV/atom.

The structure belongs to space group Cmmm (No. 65); the cell edges are 9.853, 10.207 and 7.039 Å and the angles 90.00°, 90.00° and 90.00°. The inequivalent atoms are Mg at (0.000, 0.000, 0.237), Mg at (0.250, 0.250, 0.250), Tl at (0.205, 0.500, 0.500), In at (0.000, 0.240, 0.500), In at (0.000, 0.273, 0.000) and In at (0.225, 0.500, 0.000).



Record 6
Here is an optimized crystal structure of RbTc2Ir2 from the Alexandria database. Energies are from PBE-GGA.

Its crystal system is tetragonal. Its calculated total energy is -7.3996 eV per atom. The value obtained for the energy above the most stable polymorph in this dataset is 0 meV/atom. The energy of formation from the pure elements comes out at 0.4847 eV/atom.

The structure belongs to space group P4/mbm (No. 127); the cell edges are 8.103, 8.103 and 2.736 Å and the angles 90.00°, 90.00° and 90.00°. The inequivalent atoms are Rb at (0.000, 0.000, 0.000), Tc at (0.115, 0.385, 0.000) and Ir at (0.164, 0.664, 0.500).



Record 7
Here is an optimized crystal structure of ReW3C from the Alexandria database. Energies are from PBE-GGA.

Its crystal system is cubic. Its calculated total energy is -11.8838 eV per atom. The value obtained for the energy above the most stable polymorph in this dataset is 0 meV/atom. The energy of formation from the pure elements comes out at 0.2225 eV/atom.

The structure belongs to space group Pm-3m (No. 221); the cell edges are 4.142, 4.142 and 4.142 Å and the angles 90.00°, 90.00° and 90.00°. The inequivalent atoms are Re at (0.000, 0.000, 0.000), W at (0.000, 0.500, 0.500) and C at (0.500, 0.500, 0.500).



Record 8
Here is an optimized crystal structure of TbSmY3Er from the Alexandria database. Energies are from PBE-GGA.

Its crystal system is orthorhombic. Its calculated total energy is -5.5293 eV per atom. The energy of formation from the pure elements comes out at 0.0214 eV/atom.

The structure belongs to space group Cmcm (No. 63); the cell edges are 5.044, 15.151 and 10.095 Å and the angles 90.00°, 90.00° and 90.00°. The inequivalent atoms are Tb at (0.000, 0.000, 0.000), Sm at (0.000, 0.499, 0.250), Y at (0.000, 0.167, 0.250), Y at (0.000, 0.334, 0.000) and Er at (0.000, 0.167, 0.750).



Q: Among the records above, which one has the highest calculated total energy?
A: Mg3TlIn3